Record 1
First-principles (SCAN) data for a PBEsol-optimized structure of InCuP2Se6, as listed in Alexandria via LeMat-Bulk.

- formation energy from raw total energies (eV per formula unit) = -2.525
- calculated density (g/cm³) = 5.143

Structure (POSCAR):
```
InCuP2Se6
1.0
6.332 0.000 0.000
-3.166 5.484 0.000
0.000 0.000 13.279
In Cu P Se
2 2 4 12
direct
0.000 0.000 0.250
0.000 0.000 0.750
0.333 0.667 0.250
0.667 0.333 0.750
0.333 0.667 0.665
0.333 0.667 0.835
0.667 0.333 0.165
0.667 0.333 0.335
0.014 0.354 0.122
0.014 0.660 0.378
0.340 0.354 0.378
0.340 0.986 0.122
0.354 0.014 0.622
0.354 0.340 0.878
0.646 0.660 0.122
0.646 0.986 0.378
0.660 0.014 0.878
0.660 0.646 0.622
0.986 0.340 0.622
0.986 0.646 0.878
```

Record 2
First-principles (SCAN) data for a PBEsol-optimized structure of HoBO3, as listed in Alexandria via LeMat-Bulk.

- formation energy from raw total energies (eV per formula unit) = -12.805
- calculated density (g/cm³) = 9.213

Structure (POSCAR):
```
HoBO3
1.0
3.429 0.000 0.000
0.000 3.429 0.000
0.000 0.000 3.429
Ho B O
1 1 3
direct
0.000 0.000 0.000
0.500 0.500 0.500
0.000 0.500 0.500
0.500 0.000 0.500
0.500 0.500 0.000
```

What did the first record say?
First-principles (SCAN) data for a PBEsol-optimized structure of InCuP2Se6, as listed in Alexandria via LeMat-Bulk.

- formation energy from raw total energies (eV per formula unit) = -2.525
- calculated density (g/cm³) = 5.143

Structure (POSCAR):
```
InCuP2Se6
1.0
6.332 0.000 0.000
-3.166 5.484 0.000
0.000 0.000 13.279
In Cu P Se
2 2 4 12
direct
0.000 0.000 0.250
0.000 0.000 0.750
0.333 0.667 0.250
0.667 0.333 0.750
0.333 0.667 0.665
0.333 0.667 0.835
0.667 0.333 0.165
0.667 0.333 0.335
0.014 0.354 0.122
0.014 0.660 0.378
0.340 0.354 0.378
0.340 0.986 0.122
0.354 0.014 0.622
0.354 0.340 0.878
0.646 0.660 0.122
0.646 0.986 0.378
0.660 0.014 0.878
0.660 0.646 0.622
0.986 0.340 0.622
0.986 0.646 0.878
```

What did the first record say?
First-principles (SCAN) data for a PBEsol-optimized structure of InCuP2Se6, as listed in Alexandria via LeMat-Bulk.

- formation energy from raw total energies (eV per formula unit) = -2.525
- calculated density (g/cm³) = 5.143

Structure (POSCAR):
```
InCuP2Se6
1.0
6.332 0.000 0.000
-3.166 5.484 0.000
0.000 0.000 13.279
In Cu P Se
2 2 4 12
direct
0.000 0.000 0.250
0.000 0.000 0.750
0.333 0.667 0.250
0.667 0.333 0.750
0.333 0.667 0.665
0.333 0.667 0.835
0.667 0.333 0.165
0.667 0.333 0.335
0.014 0.354 0.122
0.014 0.660 0.378
0.340 0.354 0.378
0.340 0.986 0.122
0.354 0.014 0.622
0.354 0.340 0.878
0.646 0.660 0.122
0.646 0.986 0.378
0.660 0.014 0.878
0.660 0.646 0.622
0.986 0.340 0.622
0.986 0.646 0.878
```

Repeat the first record exactly.
First-principles (SCAN) data for a PBEsol-optimized structure of InCuP2Se6, as listed in Alexandria via LeMat-Bulk.

- formation energy from raw total energies (eV per formula unit) = -2.525
- calculated density (g/cm³) = 5.143

Structure (POSCAR):
```
InCuP2Se6
1.0
6.332 0.000 0.000
-3.166 5.484 0.000
0.000 0.000 13.279
In Cu P Se
2 2 4 12
direct
0.000 0.000 0.250
0.000 0.000 0.750
0.333 0.667 0.250
0.667 0.333 0.750
0.333 0.667 0.665
0.333 0.667 0.835
0.667 0.333 0.165
0.667 0.333 0.335
0.014 0.354 0.122
0.014 0.660 0.378
0.340 0.354 0.378
0.340 0.986 0.122
0.354 0.014 0.622
0.354 0.340 0.878
0.646 0.660 0.122
0.646 0.986 0.378
0.660 0.014 0.878
0.660 0.646 0.622
0.986 0.340 0.622
0.986 0.646 0.878
```

The highest calculated density belongs to which entry? HoBO3